(1)
SrB | GGA-PBE | optimized geometry

Cell lengths 9.3905, 4.5547, 6.3576 Å; angles 90.00, 128.48, 90.00 degrees
Atoms (fractional coordinates):
Sr 0.2472 0.0000 0.2500
Sr 0.2527 0.5000 0.7500
Sr 0.7472 0.5000 0.2500
Sr 0.7528 0.0000 0.7500
B 0.0082 0.5000 0.1284
B 0.4918 0.0000 0.8716
B 0.5082 0.0000 0.1284
B 0.9918 0.5000 0.8716

N(E_F): 0.1 states/eV/f.u.
energy of formation: 4.7 kcal/mol of atoms
relative energy among the computed polymorphs: 223 meV per atom
space-group type: C2/m

(2)
CaTmIr4 | GGA-PBE | optimized geometry

Cell lengths 5.3450, 5.3450, 5.3450 Å; angles 60.00, 60.00, 60.00 degrees
Atoms (fractional coordinates):
Ca 0.0000 0.0000 0.0000
Tm 0.7500 0.7500 0.7500
Ir 0.3750 0.3750 0.3750
Ir 0.3750 0.3750 0.8751
Ir 0.3750 0.8751 0.3750
Ir 0.8751 0.3750 0.3750

N(E_F): 7.2 states/eV/f.u.
energy of formation: -14.9 kcal/mol of atoms
space-group type: F-43m

(3)
KSbO2 | GGA-PBE | optimized geometry

Cell lengths 5.8792, 5.8792, 10.2663 Å; angles 90.00, 90.00, 90.00 degrees
Atoms (fractional coordinates):
K 0.0000 0.0000 0.0000
K 0.0000 0.5000 0.2500
K 0.5000 0.0000 0.7500
K 0.5000 0.5000 0.5000
Sb 0.0000 0.0000 0.5000
Sb 0.0000 0.5000 0.7500
Sb 0.5000 0.0000 0.2500
Sb 0.5000 0.5000 0.0000
O 0.1630 0.2500 0.6250
O 0.2500 0.6630 0.8750
O 0.2500 0.8370 0.3750
O 0.3370 0.2500 0.1250
O 0.6630 0.7500 0.1250
O 0.7500 0.1630 0.3750
O 0.7500 0.3370 0.8750
O 0.8370 0.7500 0.6250

N(E_F): 0.0 states/eV/f.u.
total energy: -5.0085 eV/atom
space-group type: I-42d

(4)
Rb3CdSb | GGA-PBE | optimized geometry

Cell lengths 9.2372, 9.2372, 9.2372 Å; angles 102.84, 109.44, 116.43 degrees
Atoms (fractional coordinates):
Rb 0.1935 0.0563 0.2498
Rb 0.1935 0.4437 0.6372
Rb 0.5557 0.9116 0.1441
Rb 0.7675 0.4116 0.8559
Rb 0.8065 0.5563 0.3628
Rb 0.8065 0.9437 0.7502
Cd 0.2599 0.0459 0.7140
Cd 0.3320 0.5459 0.2860
Sb 0.1061 0.7801 0.8260
Sb 0.9541 0.2801 0.1740

relative energy among the computed polymorphs: 0 meV per atom
space-group type: Ima2

(5)
HfCo2Si | GGA-PBE | optimized geometry

Cell lengths 3.5735, 3.5735, 8.7252 Å; angles 90.00, 90.00, 90.00 degrees
Atoms (fractional coordinates):
Hf 0.2500 0.2500 0.2128
Hf 0.7500 0.7500 0.7872
Co 0.2500 0.2500 0.9162
Co 0.2500 0.7500 0.5000
Co 0.7500 0.2500 0.5000
Co 0.7500 0.7500 0.0838
Si 0.2500 0.2500 0.6560
Si 0.7500 0.7500 0.3440

N(E_F): 3.1 states/eV/f.u.
total energy: -7.9076 eV/atom
space-group type: P4/nmm

(6)
Se4Cl | GGA-PBE | optimized geometry

Cell lengths 6.2465, 6.2465, 6.2465 Å; angles 90.00, 90.00, 90.00 degrees
Atoms (fractional coordinates):
Se 0.2500 0.2500 0.2500
Se 0.2500 0.2500 0.7500
Se 0.2500 0.7500 0.2500
Se 0.2500 0.7500 0.7500
Se 0.7500 0.2500 0.2500
Se 0.7500 0.2500 0.7500
Se 0.7500 0.7500 0.2500
Se 0.7500 0.7500 0.7500
Cl 0.0000 0.0000 0.0000
Cl 0.5000 0.5000 0.5000

N(E_F): 4.0 states/eV/f.u.
relative energy among the computed polymorphs: 515 meV per atom
space-group type: Im-3m